(1)
Density functional theory data (PBE-GGA) for BaCuSn2 after structural relaxation. Values from VASP.

Properties
**Calculated total energy**: -31.3 eV/cell
**Formation enthalpy at 0 K**: -39 kJ/mol of atoms
**Space group**: No. 65

```
&SYSTEM
  ibrav = 0, nat = 8, ntyp = 3
/
ATOMIC_SPECIES
Ba 137.33 Ba.upf
Cu 63.55 Cu.upf
Sn 118.71 Sn.upf
CELL_PARAMETERS angstrom
2.362 -9.827 0.000
2.362 9.827 0.000
0.000 0.000 4.891
ATOMIC_POSITIONS angstrom
Ba 2.362 7.012 0.000
Ba 2.362 -7.012 0.000
Cu 2.362 1.423 2.445
Cu 2.362 -1.423 2.445
Sn 0.000 0.000 2.445
Sn 2.362 4.073 2.445
Sn 2.362 0.000 0.000
Sn 2.362 -4.073 2.445
```


(2)
Density functional theory data (PBE-GGA) for NaSr2Ga after structural relaxation. Values from VASP.

Properties
**Calculated total energy**: -8.2 eV/cell
**Formation enthalpy at 0 K**: -11 kJ/mol of atoms
**Space group**: No. 123

```
&SYSTEM
  ibrav = 0, nat = 4, ntyp = 3
/
ATOMIC_SPECIES
Na 22.99 Na.upf
Sr 87.62 Sr.upf
Ga 69.72 Ga.upf
CELL_PARAMETERS angstrom
5.800 0.000 0.000
0.000 5.800 0.000
0.000 0.000 4.126
ATOMIC_POSITIONS angstrom
Na 0.000 0.000 0.000
Sr 0.000 2.900 2.063
Sr 2.900 0.000 2.063
Ga 2.900 2.900 0.000
```


(3)
Density functional theory data (PBE-GGA) for Tb5TmSb4 after structural relaxation. Values from VASP.

Properties
**E_form (uncorrected)**: -0.732 eV per atom
**Calculated total energy**: -51.4 eV/cell
**Space group**: No. 12

```
&SYSTEM
  ibrav = 0, nat = 10, ntyp = 3
/
ATOMIC_SPECIES
Tb 158.93 Tb.upf
Tm 168.93 Tm.upf
Sb 121.76 Sb.upf
CELL_PARAMETERS angstrom
9.320 -2.150 0.000
9.320 2.150 0.000
-2.241 0.000 8.110
ATOMIC_POSITIONS angstrom
Tb 0.000 0.000 0.000
Tb 5.686 0.000 1.213
Tb 4.742 0.000 5.494
Tb 11.656 0.000 2.616
Tb 10.713 0.000 6.897
Tm -1.120 0.000 4.055
Sb 1.818 0.000 4.752
Sb 8.639 0.000 1.997
Sb 7.760 0.000 6.113
Sb 14.581 0.000 3.358
```


(4)
Density functional theory data (PBE-GGA) for Mo2PdS after structural relaxation. Values from VASP.

Properties
**E_form (uncorrected)**: 0.724 eV per atom
**Calculated total energy**: -56.2 eV/cell
**Space group**: No. 122

```
&SYSTEM
  ibrav = 0, nat = 8, ntyp = 3
/
ATOMIC_SPECIES
Mo 95.94 Mo.upf
Pd 106.42 Pd.upf
S 32.06 S.upf
CELL_PARAMETERS angstrom
-2.772 2.772 5.364
2.772 -2.772 5.364
2.772 2.772 -5.364
ATOMIC_POSITIONS angstrom
Mo 4.159 1.226 -1.341
Mo 1.226 1.386 1.341
Mo -1.386 1.547 4.023
Mo 1.547 1.386 6.705
Pd 2.772 0.000 2.682
Pd 0.000 0.000 5.364
S 0.000 0.000 0.000
S 0.000 2.772 2.682
```


(5)
Density functional theory data (PBE-GGA) for LiBe2Rh after structural relaxation. Values from VASP.

Properties
**Calculated total energy**: -17.5 eV/cell
**Formation enthalpy at 0 K**: -20 kJ/mol of atoms
**Space group**: No. 216

```
&SYSTEM
  ibrav = 0, nat = 4, ntyp = 3
/
ATOMIC_SPECIES
Li 6.94 Li.upf
Be 9.01 Be.upf
Rh 102.91 Rh.upf
CELL_PARAMETERS angstrom
0.000 2.733 2.733
2.733 0.000 2.733
2.733 2.733 0.000
ATOMIC_POSITIONS angstrom
Li 0.000 0.000 0.000
Be 2.733 2.733 2.733
Be 4.099 4.099 4.099
Rh 1.366 1.366 1.366
```


(6)
Density functional theory data (PBE-GGA) for AcGa4Cu2Os after structural relaxation. Values from VASP.

Properties
**Calculated total energy**: -37.2 eV/cell
**Formation enthalpy at 0 K**: -19 kJ/mol of atoms
**Space group**: No. 166

```
&SYSTEM
  ibrav = 0, nat = 8, ntyp = 4
/
ATOMIC_SPECIES
Ac 227.00 Ac.upf
Ga 69.72 Ga.upf
Cu 63.55 Cu.upf
Os 190.23 Os.upf
CELL_PARAMETERS angstrom
2.126 1.228 9.440
-2.126 1.228 9.440
0.000 -2.455 9.440
ATOMIC_POSITIONS angstrom
Ac 0.000 0.000 0.000
Ga 0.000 0.000 3.810
Ga 0.000 0.000 11.539
Ga 0.000 0.000 16.782
Ga 0.000 0.000 24.510
Cu 0.000 0.000 6.519
Cu 0.000 0.000 21.801
Os 0.000 0.000 14.160
```


(7)
Density functional theory data (PBE-GGA) for ScTiTlZn after structural relaxation. Values from VASP.

Properties
**Calculated total energy**: -18.3 eV/cell
**Formation enthalpy at 0 K**: -9 kJ/mol of atoms
**Space group**: No. 216

```
&SYSTEM
  ibrav = 0, nat = 4, ntyp = 4
/
ATOMIC_SPECIES
Sc 44.96 Sc.upf
Ti 47.87 Ti.upf
Tl 204.38 Tl.upf
Zn 65.41 Zn.upf
CELL_PARAMETERS angstrom
0.000 3.384 3.384
3.384 0.000 3.384
3.384 3.384 0.000
ATOMIC_POSITIONS angstrom
Sc 0.000 0.000 0.000
Ti 3.384 3.384 3.384
Tl 1.692 1.692 1.692
Zn 5.077 5.077 5.077
```


(8)
Density functional theory data (PBE-GGA) for Mn2CrHgB after structural relaxation. Values from VASP.

Properties
**Calculated total energy**: -22.7 eV/cell
**Formation enthalpy at 0 K**: 235 kJ/mol of atoms
**Space group**: No. 123

```
&SYSTEM
  ibrav = 0, nat = 5, ntyp = 4
/
ATOMIC_SPECIES
Mn 54.94 Mn.upf
Cr 52.00 Cr.upf
Hg 200.59 Hg.upf
B 10.81 B.upf
CELL_PARAMETERS angstrom
4.957 0.000 0.000
0.000 4.957 0.000
0.000 0.000 4.883
ATOMIC_POSITIONS angstrom
Mn 0.000 2.479 0.000
Mn 2.479 0.000 0.000
Cr 0.000 0.000 2.442
Hg 0.000 0.000 0.000
B 2.479 2.479 2.442
```


Question: calculated total energy of number 2 (NaSr2Ga)?
Answer: -8.2 eV/cell


Question: Among the records above, which one has the lowest calculated total energy?
Answer: Mo2PdS


Question: Which of these has the highest calculated total energy?
Answer: NaSr2Ga